Entry 1:
# Tb2ThTc

An optimized crystal structure of Tb2ThTc (PBE-GGA, Alexandria).

Cell lengths 7.3371, 9.5923, 6.3993 Å; angles 90.00, 90.00, 90.00 degrees
Space group Pnma (No. 62)
One atom of each set of equivalent atoms:
1 Tb 0.1750 0.0666 0.1701 x8
2 Th 0.0510 0.2500 0.6446 x4
3 Tc 0.1273 0.7500 0.9851 x4

## Properties
size of the total moment	0.000	μB/f.u.
ΔH_f (0 K)	-0.150	eV/atom
DOS at the Fermi energy	4.6	states/eV/f.u.
mass density	9.6	g/cm3

Entry 2:
# TbThTc4

An optimized crystal structure of TbThTc4 (PBE-GGA, Alexandria).

Cell lengths 7.7269, 7.7269, 7.7269 Å; angles 90.00, 90.00, 90.00 degrees
Space group F-43m (No. 216)
One atom of each set of equivalent atoms:
1 Tb 0.0000 0.0000 0.0000 x4
2 Th 0.2500 0.2500 0.7500 x4
3 Tc 0.1251 0.1251 0.3749 x16

## Properties
size of the total moment	0.003	μB/f.u.
ΔH_f (0 K)	-0.078	eV/atom
DOS at the Fermi energy	12.3	states/eV/f.u.
mass density	11.3	g/cm3

Entry 3:
# TbYThTc

An optimized crystal structure of TbYThTc (PBE-GGA, Alexandria).

Cell lengths 4.7052, 4.7052, 18.2557 Å; angles 90.00, 90.00, 120.00 degrees
Space group R3m (No. 160, hexagonal axes)
One atom of each set of equivalent atoms:
1 Tb 0.0000 0.0000 0.0000 x3
2 Y 0.0000 0.0000 0.7864 x3
3 Th 0.0000 0.0000 0.5574 x3
4 Tc 0.0000 0.0000 0.1982 x3

## Properties
size of the total moment	0.000	μB/f.u.
ΔH_f (0 K)	0.162	eV/atom
DOS at the Fermi energy	4.6	states/eV/f.u.
mass density	8.2	g/cm3

Entry 4:
# TbThZnTc

An optimized crystal structure of TbThZnTc (PBE-GGA, Alexandria).

Cell lengths 7.1295, 7.1295, 7.1295 Å; angles 90.00, 90.00, 90.00 degrees
Space group F-43m (No. 216)
One atom of each set of equivalent atoms:
1 Tb 0.0000 0.0000 0.0000 x4
2 Th 0.0000 0.0000 0.5000 x4
3 Zn 0.2500 0.2500 0.7500 x4
4 Tc 0.2500 0.2500 0.2500 x4

## Properties
size of the total moment	0.000	μB/f.u.
ΔH_f (0 K)	-0.127	eV/atom
DOS at the Fermi energy	5.8	states/eV/f.u.
mass density	10.2	g/cm3

Entry 5:
# TbTi2Tc

An optimized crystal structure of TbTi2Tc (PBE-GGA, Alexandria).

Cell lengths 3.1850, 3.1850, 7.6494 Å; angles 90.00, 90.00, 90.00 degrees
Space group P4/mmm (No. 123)
One atom of each set of equivalent atoms:
1 Tb 0.0000 0.0000 0.0000 x1
2 Ti 0.5000 0.5000 0.3146 x2
3 Tc 0.0000 0.0000 0.5000 x1

## Properties
size of the total moment	0.000	μB/f.u.
ΔH_f (0 K)	-0.136	eV/atom
DOS at the Fermi energy	5.0	states/eV/f.u.
mass density	7.5	g/cm3

Entry 6:
# TbTiTc4

An optimized crystal structure of TbTiTc4 (PBE-GGA, Alexandria).

Cell lengths 7.4701, 7.4701, 7.4701 Å; angles 90.00, 90.00, 90.00 degrees
Space group F-43m (No. 216)
One atom of each set of equivalent atoms:
1 Tb 0.0000 0.0000 0.0000 x4
2 Ti 0.2500 0.2500 0.7500 x4
3 Tc 0.1245 0.1245 0.3755 x16

## Properties
size of the total moment	0.000	μB/f.u.
ΔH_f (0 K)	-0.084	eV/atom
DOS at the Fermi energy	10.5	states/eV/f.u.
mass density	9.5	g/cm3

Entry 7:
# TbTiTc

An optimized crystal structure of TbTiTc (PBE-GGA, Alexandria).

Cell lengths 3.3089, 3.3089, 11.0371 Å; angles 90.00, 90.00, 90.00 degrees
Space group I4mm (No. 107)
One atom of each set of equivalent atoms:
1 Tb 0.0000 0.0000 0.0000 x2
2 Ti 0.0000 0.0000 0.2826 x2
3 Tc 0.0000 0.0000 0.6769 x2

## Properties
size of the total moment	0.000	μB/f.u.
ΔH_f (0 K)	-0.125	eV/atom
DOS at the Fermi energy	1.8	states/eV/f.u.
mass density	8.4	g/cm3

Entry 8:
# TbTiTc

An optimized crystal structure of TbTiTc (PBE-GGA, Alexandria).

Cell lengths 4.3999, 4.3999, 23.7428 Å; angles 90.00, 90.00, 120.00 degrees
Space group R-3m (No. 166, hexagonal axes)
One atom of each set of equivalent atoms:
1 Tb 0.0000 0.0000 0.2174 x6
2 Ti 0.0000 0.0000 0.3643 x6
3 Tc 0.0000 0.0000 0.0515 x6

## Properties
size of the total moment	0.000	μB/f.u.
ΔH_f (0 K)	-0.038	eV/atom
DOS at the Fermi energy	3.1	states/eV/f.u.
mass density	7.6	g/cm3

Entry 9:
# TbTiZnTc

An optimized crystal structure of TbTiZnTc (PBE-GGA, Alexandria).

Cell lengths 6.6347, 6.6347, 6.6347 Å; angles 90.00, 90.00, 90.00 degrees
Space group F-43m (No. 216)
One atom of each set of equivalent atoms:
1 Tb 0.0000 0.0000 0.0000 x4
2 Ti 0.0000 0.0000 0.5000 x4
3 Zn 0.2500 0.2500 0.2500 x4
4 Tc 0.2500 0.2500 0.7500 x4

## Properties
size of the total moment	0.000	μB/f.u.
ΔH_f (0 K)	-0.098	eV/atom
DOS at the Fermi energy	4.5	states/eV/f.u.
mass density	8.4	g/cm3

Entry 10:
# Tb6TlTc2

An optimized crystal structure of Tb6TlTc2 (PBE-GGA, Alexandria).

Cell lengths 9.6101, 9.6873, 10.4134 Å; angles 90.00, 90.00, 90.00 degrees
Space group Immm (No. 71)
One atom of each set of equivalent atoms:
1 Tb 0.0000 0.2160 0.2340 x8
2 Tb 0.2061 0.5000 0.1827 x8
3 Tb 0.2157 0.3096 0.5000 x8
4 Tl 0.0000 0.0000 0.0000 x2
5 Tl 0.0000 0.0000 0.5000 x2
6 Tc 0.0000 0.3723 0.0000 x4
7 Tc 0.0000 0.5000 0.3846 x4

## Properties
size of the total moment	0.000	μB/f.u.
ΔH_f (0 K)	-0.148	eV/atom
DOS at the Fermi energy	9.0	states/eV/f.u.
mass density	9.3	g/cm3

Entry 11:
# Tb2TlTc

An optimized crystal structure of Tb2TlTc (PBE-GGA, Alexandria).

Cell lengths 3.5033, 3.5033, 31.5809 Å; angles 90.00, 90.00, 120.00 degrees
Space group R-3m (No. 166, hexagonal axes)
One atom of each set of equivalent atoms:
1 Tb 0.0000 0.0000 0.1043 x6
2 Tl 0.0000 0.0000 0.0000 x3
3 Tc 0.0000 0.0000 0.5000 x3

## Properties
size of the total moment	0.000	μB/f.u.
ΔH_f (0 K)	0.176	eV/atom
DOS at the Fermi energy	4.8	states/eV/f.u.
mass density	9.2	g/cm3

Entry 12:
# TbTlTc

An optimized crystal structure of TbTlTc (PBE-GGA, Alexandria).

Cell lengths 3.2423, 3.2423, 13.1103 Å; angles 90.00, 90.00, 90.00 degrees
Space group P4/nmm (No. 129, origin choice 2)
One atom of each set of equivalent atoms:
1 Tb 0.2500 0.2500 0.2046 x2
2 Tl 0.2500 0.2500 0.5955 x2
3 Tc 0.2500 0.2500 0.9496 x2

## Properties
size of the total moment	0.000	μB/f.u.
ΔH_f (0 K)	-0.056	eV/atom
DOS at the Fermi energy	1.7	states/eV/f.u.
mass density	11.1	g/cm3